1.
The following is a DFT calculation (PBE) of a relaxed structure of Tm5OsPd4.

The structure in POSCAR format:
```
Tm5OsPd4
1.0
3.4057 0.0000 0.0000
0.0000 3.4057 0.0000
0.0000 0.0000 17.5396
Tm Os Pd
5 1 4
Cartesian
0.0000 0.0000 0.0000
0.0000 0.0000 3.5513
0.0000 0.0000 7.1320
0.0000 0.0000 10.4076
0.0000 0.0000 13.9883
1.7028 1.7028 8.7698
1.7028 1.7028 1.7703
1.7028 1.7028 5.2567
1.7028 1.7028 12.2829
1.7028 1.7028 15.7693
```

Energy relative to the elements in meV/atom: -827
Space group: P4/mmm, No. 123
VASP energy in eV per atom: -6.26



2.
The following is a DFT calculation (PBE) of a relaxed structure of Tm6OsPd5.

The structure in POSCAR format:
```
Tm6OsPd5
1.0
2.4475 -7.3282 0.0000
2.4475 7.3282 0.0000
0.0000 0.0000 6.8212
Tm Os Pd
6 1 5
Cartesian
0.0000 0.0000 1.6576
0.0000 0.0000 5.1636
2.4475 2.3885 1.6847
2.4475 2.3885 5.1365
2.4475 -2.3885 1.6847
2.4475 -2.3885 5.1365
2.4475 0.0000 0.0000
2.4475 4.8732 3.4106
2.4475 4.8471 0.0000
2.4475 0.0000 3.4106
2.4475 -4.8471 0.0000
2.4475 -4.8732 3.4106
```

Energy relative to the elements in meV/atom: -852
Space group: Cmmm, No. 65
VASP energy in eV per atom: -6.19



3.
The following is a DFT calculation (PBE) of a relaxed structure of YTmOsPd.

The structure in POSCAR format:
```
YTmOsPd
1.0
0.0000 3.4291 3.4291
3.4291 0.0000 3.4291
3.4291 3.4291 0.0000
Y Tm Os Pd
1 1 1 1
Cartesian
0.0000 0.0000 0.0000
3.4291 3.4291 3.4291
5.1436 5.1436 5.1436
1.7145 1.7145 1.7145
```

Energy relative to the elements in meV/atom: -564
Space group: F-43m, No. 216
VASP energy in eV per atom: -7.40



4.
The following is a DFT calculation (PBE) of a relaxed structure of VOsPd2.

The structure in POSCAR format:
```
VOsPd2
1.0
-1.8383 1.8383 9.2287
1.8383 -1.8383 9.2287
1.8383 1.8383 -9.2287
V Os Pd
2 2 4
Cartesian
0.0000 0.0000 0.0000
0.0000 1.8383 4.6143
1.8383 0.0000 4.6143
0.0000 0.0000 9.2287
0.9191 -0.9179 6.9215
0.9204 0.9191 2.3072
0.9191 2.7562 -2.3072
0.9179 0.9191 11.5359
```

Energy relative to the elements in meV/atom: 365
Space group: I-42d, No. 122
VASP energy in eV per atom: -7.32



- Look up the VASP energy of the fourth one.
  -7.32 eV per atom



- What is the energy relative to the elements in the third record?
  -564 meV/atom



Repeat the second record exactly.
The following is a DFT calculation (PBE) of a relaxed structure of Tm6OsPd5.

The structure in POSCAR format:
```
Tm6OsPd5
1.0
2.4475 -7.3282 0.0000
2.4475 7.3282 0.0000
0.0000 0.0000 6.8212
Tm Os Pd
6 1 5
Cartesian
0.0000 0.0000 1.6576
0.0000 0.0000 5.1636
2.4475 2.3885 1.6847
2.4475 2.3885 5.1365
2.4475 -2.3885 1.6847
2.4475 -2.3885 5.1365
2.4475 0.0000 0.0000
2.4475 4.8732 3.4106
2.4475 4.8471 0.0000
2.4475 0.0000 3.4106
2.4475 -4.8471 0.0000
2.4475 -4.8732 3.4106
```

Energy relative to the elements in meV/atom: -852
Space group: Cmmm, No. 65
VASP energy in eV per atom: -6.19



Copy entry 2 word for word.
The following is a DFT calculation (PBE) of a relaxed structure of Tm6OsPd5.

The structure in POSCAR format:
```
Tm6OsPd5
1.0
2.4475 -7.3282 0.0000
2.4475 7.3282 0.0000
0.0000 0.0000 6.8212
Tm Os Pd
6 1 5
Cartesian
0.0000 0.0000 1.6576
0.0000 0.0000 5.1636
2.4475 2.3885 1.6847
2.4475 2.3885 5.1365
2.4475 -2.3885 1.6847
2.4475 -2.3885 5.1365
2.4475 0.0000 0.0000
2.4475 4.8732 3.4106
2.4475 4.8471 0.0000
2.4475 0.0000 3.4106
2.4475 -4.8471 0.0000
2.4475 -4.8732 3.4106
```

Energy relative to the elements in meV/atom: -852
Space group: Cmmm, No. 65
VASP energy in eV per atom: -6.19